Version P
Ac2SmPd9: optimized geometry, GGA-PBE.

## Properties
Spin magnetization, μB/cell: 0.0
Volume, Å³/atom: 20.0

Lattice parameters (Å, degrees): 9.757 9.757 9.757 32.64 32.64 32.64
Fractional coordinates of all 12 atoms:
Ac 0.136 0.136 0.136
Ac 0.864 0.864 0.864
Sm 0.000 0.000 0.000
Pd 0.081 0.583 0.583
Pd 0.333 0.333 0.333
Pd 0.417 0.417 0.919
Pd 0.417 0.919 0.417
Pd 0.500 0.500 0.500
Pd 0.583 0.081 0.583
Pd 0.583 0.583 0.081
Pd 0.667 0.667 0.667
Pd 0.919 0.417 0.417



Version Q
Ac2SmPd9: optimized geometry, GGA-PBE.

## Properties
Spin magnetization, μB/cell: 0.0
Volume, Å³/atom: 19.5

Lattice parameters (Å, degrees): 4.277 4.277 12.769 90.00 90.00 90.00
Fractional coordinates of all 12 atoms:
Ac 0.000 0.000 0.171
Ac 0.000 0.000 0.829
Sm 0.000 0.000 0.500
Pd 0.000 0.500 0.000
Pd 0.000 0.500 0.341
Pd 0.000 0.500 0.659
Pd 0.500 0.000 0.000
Pd 0.500 0.000 0.341
Pd 0.500 0.000 0.659
Pd 0.500 0.500 0.171
Pd 0.500 0.500 0.500
Pd 0.500 0.500 0.829



Going by the computed energies, the most stable comes first: version Q, version P.



Version P
AcSmZnPd: optimized geometry, GGA-PBE.

## Properties
Spin magnetization, μB/cell: 0.0
Volume, Å³/atom: 27.0

Lattice parameters (Å, degrees): 4.642 5.944 5.944 41.14 90.00 90.00
Fractional coordinates of all 4 atoms:
Ac 0.000 0.000 0.000
Sm 0.500 0.716 0.716
Zn 0.500 0.420 0.420
Pd 0.000 0.282 0.282



Version Q
AcSmZnPd: optimized geometry, GGA-PBE.

## Properties
Spin magnetization, μB/cell: 0.0
Volume, Å³/atom: 26.2

Lattice parameters (Å, degrees): 5.294 5.294 5.294 60.00 60.00 60.00
Fractional coordinates of all 4 atoms:
Ac 0.000 0.000 0.000
Sm 0.500 0.500 0.500
Zn 0.250 0.250 0.250
Pd 0.750 0.750 0.750



Going by the computed energies, the most stable comes first: version P, version Q.



Version P
AcSn2Pd: optimized geometry, GGA-PBE.

## Properties
Spin magnetization, μB/cell: 0.0
Volume, Å³/atom: 25.6

Lattice parameters (Å, degrees): 3.617 3.617 7.814 90.00 90.00 90.00
Fractional coordinates of all 4 atoms:
Ac 0.000 0.000 0.000
Sn 0.500 0.500 0.307
Sn 0.500 0.500 0.693
Pd 0.000 0.000 0.500



Version Q
AcSn2Pd: optimized geometry, GGA-PBE.

## Properties
Spin magnetization, μB/cell: 0.0
Volume, Å³/atom: 27.0

Lattice parameters (Å, degrees): 6.482 6.482 6.482 41.52 41.52 41.52
Fractional coordinates of all 4 atoms:
Ac 0.000 0.000 0.000
Sn 0.217 0.217 0.217
Sn 0.783 0.783 0.783
Pd 0.500 0.500 0.500



Version R
AcSn2Pd: optimized geometry, GGA-PBE.

## Properties
Spin magnetization, μB/cell: 0.0
Volume, Å³/atom: 26.9

Lattice parameters (Å, degrees): 4.674 4.732 9.998 90.00 103.12 90.00
Fractional coordinates of all 8 atoms:
Ac 0.122 0.250 0.219
Ac 0.878 0.750 0.781
Sn 0.245 0.750 0.502
Sn 0.424 0.250 0.917
Sn 0.576 0.750 0.083
Sn 0.755 0.250 0.498
Pd 0.328 0.250 0.646
Pd 0.672 0.750 0.354



Going by the computed energies, the most stable comes first: version R, version Q, version P.



Version P
Ac3Sn2Pd: optimized geometry, GGA-PBE.

## Properties
Spin magnetization, μB/cell: 0.0
Volume, Å³/atom: 36.8

Lattice parameters (Å, degrees): 8.240 8.240 9.207 106.20 106.20 47.90
Fractional coordinates of all 12 atoms:
Ac 0.006 0.994 0.750
Ac 0.348 0.349 0.424
Ac 0.349 0.348 0.924
Ac 0.651 0.652 0.076
Ac 0.652 0.651 0.576
Ac 0.994 0.006 0.250
Sn 0.172 0.173 0.086
Sn 0.173 0.172 0.586
Sn 0.827 0.828 0.414
Sn 0.828 0.827 0.914
Pd 0.496 0.504 0.250
Pd 0.504 0.496 0.750



Version Q
Ac3Sn2Pd: optimized geometry, GGA-PBE.

## Properties
Spin magnetization, μB/cell: 2.7
Volume, Å³/atom: 33.9

Lattice parameters (Å, degrees): 13.135 4.807 12.879 90.00 90.00 90.00
Fractional coordinates of all 24 atoms:
Ac 0.055 0.250 0.128
Ac 0.118 0.750 0.552
Ac 0.226 0.250 0.802
Ac 0.274 0.750 0.302
Ac 0.382 0.250 0.052
Ac 0.445 0.750 0.628
Ac 0.555 0.250 0.372
Ac 0.618 0.750 0.948
Ac 0.726 0.250 0.698
Ac 0.774 0.750 0.198
Ac 0.882 0.250 0.448
Ac 0.945 0.750 0.872
Sn 0.013 0.750 0.310
Sn 0.194 0.750 0.997
Sn 0.306 0.250 0.497
Sn 0.487 0.250 0.810
Sn 0.513 0.750 0.190
Sn 0.694 0.750 0.503
Sn 0.806 0.250 0.003
Sn 0.987 0.250 0.690
Pd 0.124 0.250 0.369
Pd 0.376 0.750 0.869
Pd 0.624 0.250 0.131
Pd 0.876 0.750 0.631



Going by the computed energies, the most stable comes first: version Q, version P.